Here is a geometry-optimized YScTe2N structure from Alexandria via LeMat-Bulk. Energies are from GGA-PBE.

a b c (Å): 5.877 5.877 4.196
angles (deg): 90.00 90.00 90.00
Last column: magnetic moment on the atom in μB.
Positions (direct):
1 Y 0.000 0.000 0.000  0.04
2 Sc 0.500 0.500 0.500  -0.33
3 Te 0.000 0.500 0.000  0.08
4 Te 0.500 0.000 0.000  0.08
5 N 0.000 0.000 0.500  0.63

For the energy above the lowest structure with this stoichiometry, the calculation gives 2.16 eV/f.u. As for the uncorrected formation energy: -0.092 eV/atom. Its space group is No. 123. The calculation puts the total DFT energy (no corrections) at -27.9 eV per cell.